This record from the Alexandria database describes a crystal of Na3MgPCO7 relaxed with PBEsol. The functional is SCAN.

## Properties
Crystal system: monoclinic
E: -8.67 eV/atom
SG: P2_1/m (11)
Offset from the most stable computed form: 0 meV per atom
Density of states at the Fermi level: 0.00 states/eV per atom
Uncorrected formation energy: -2382 meV/atom

CIF file:
```
data_Na3MgPCO7
_chemical_formula_sum 'Na6 Mg2 P2 C2 O14'
_cell_length_a 5.159
_cell_length_b 6.627
_cell_length_c 8.827
_cell_angle_alpha 90.00
_cell_angle_beta 90.52
_cell_angle_gamma 90.00
_space_group_name_H-M_alt 'P 1'
_space_group_IT_number 1
_space_group_name_Hall 'P 1'
loop_
_atom_site_label
_atom_site_type_symbol
_atom_site_fract_x
_atom_site_fract_y
_atom_site_fract_z
_atom_site_occupancy
Mg1 Mg 0.783 0.250 0.646 1
Mg2 Mg 0.217 0.750 0.354 1
Na1 Na 0.252 0.994 0.734 1
Na2 Na 0.252 0.506 0.734 1
Na3 Na 0.763 0.750 0.918 1
Na4 Na 0.748 0.006 0.266 1
Na5 Na 0.748 0.494 0.266 1
Na6 Na 0.237 0.250 0.082 1
O1 O 0.589 0.250 0.447 1
O2 O 0.779 0.562 0.682 1
O3 O 0.221 0.438 0.318 1
O4 O 0.148 0.250 0.568 1
O5 O 0.221 0.062 0.318 1
O6 O 0.779 0.938 0.682 1
O7 O 0.957 0.250 0.874 1
O8 O 0.706 0.250 0.081 1
O9 O 0.527 0.250 0.848 1
O10 O 0.852 0.750 0.432 1
O11 O 0.043 0.750 0.126 1
O12 O 0.411 0.750 0.553 1
O13 O 0.473 0.750 0.152 1
O14 O 0.294 0.750 0.919 1
P1 P 0.709 0.750 0.585 1
P2 P 0.291 0.250 0.415 1
C1 C 0.270 0.750 0.064 1
C2 C 0.730 0.250 0.936 1
```

This record from the Alexandria database describes a crystal of AlSi2HgP relaxed with PBEsol. The functional is SCAN.

## Properties
Crystal system: tetragonal
E: -19.77 eV/atom
SG: P4/mmm (123)
Density of states at the Fermi level: 0.77 states/eV per atom
Uncorrected formation energy: 1498 meV/atom

CIF file:
```
data_AlSi2HgP
_chemical_formula_sum 'Al1 Si2 Hg1 P1'
_cell_length_a 4.981
_cell_length_b 4.928
_cell_length_c 4.928
_cell_angle_alpha 90.00
_cell_angle_beta 90.00
_cell_angle_gamma 90.00
_space_group_name_H-M_alt 'P 1'
_space_group_IT_number 1
_space_group_name_Hall 'P 1'
loop_
_atom_site_label
_atom_site_type_symbol
_atom_site_fract_x
_atom_site_fract_y
_atom_site_fract_z
_atom_site_occupancy
Si1 Si 0.000 0.500 0.000 1
Si2 Si 0.000 0.000 0.500 1
Hg1 Hg 0.000 0.000 0.000 1
Al1 Al 0.500 0.500 0.500 1
P1 P 0.500 0.000 0.000 1
```

This record from the Alexandria database describes a crystal of Cd2TcAuS relaxed with PBEsol. The functional is SCAN.

## Properties
Crystal system: tetragonal
E: -33.84 eV/atom
SG: P4/mmm (123)
Density of states at the Fermi level: 0.70 states/eV per atom
Uncorrected formation energy: 1094 meV/atom

CIF file:
```
data_Cd2TcAuS
_chemical_formula_sum 'Cd2 Tc1 Au1 S1'
_cell_length_a 4.611
_cell_length_b 4.896
_cell_length_c 4.896
_cell_angle_alpha 90.00
_cell_angle_beta 90.00
_cell_angle_gamma 90.00
_space_group_name_H-M_alt 'P 1'
_space_group_IT_number 1
_space_group_name_Hall 'P 1'
loop_
_atom_site_label
_atom_site_type_symbol
_atom_site_fract_x
_atom_site_fract_y
_atom_site_fract_z
_atom_site_occupancy
Cd1 Cd 0.000 0.000 0.500 1
Cd2 Cd 0.000 0.500 0.000 1
Au1 Au 0.500 0.000 0.000 1
Tc1 Tc 0.500 0.500 0.500 1
S1 S 0.000 0.000 0.000 1
```

This record from the Alexandria database describes a crystal of MnCu2Pb relaxed with PBEsol. The functional is SCAN.

## Properties
Crystal system: monoclinic
E: -30.90 eV/atom
SG: Cm (8)
Density of states at the Fermi level: 0.41 states/eV per atom
Formation energy from the elements: 0.21 eV/atom

CIF file:
```
data_MnCu2Pb
_chemical_formula_sum 'Mn1 Cu2 Pb1'
_cell_length_a 3.212
_cell_length_b 4.566
_cell_length_c 4.755
_cell_angle_alpha 103.22
_cell_angle_beta 90.00
_cell_angle_gamma 110.59
_space_group_name_H-M_alt 'P 1'
_space_group_IT_number 1
_space_group_name_Hall 'P 1'
loop_
_atom_site_label
_atom_site_type_symbol
_atom_site_fract_x
_atom_site_fract_y
_atom_site_fract_z
_atom_site_occupancy
Cu1 Cu 0.748 0.495 0.247 1
Cu2 Cu 0.013 0.026 0.046 1
Pb1 Pb 0.253 0.506 0.758 1
Mn1 Mn 0.486 0.973 0.449 1
```

This record from the Alexandria database describes a crystal of Mn2Si relaxed with PBEsol. The functional is SCAN.

## Properties
Crystal system: trigonal
E: -15.60 eV/atom
SG: P-3m1 (164)
Density of states at the Fermi level: 1.15 states/eV per atom
Uncorrected formation energy: -87 meV/atom

CIF file:
```
data_Mn2Si
_chemical_formula_sum 'Mn2 Si1'
_cell_length_a 2.535
_cell_length_b 3.813
_cell_length_c 3.813
_cell_angle_alpha 120.00
_cell_angle_beta 90.00
_cell_angle_gamma 90.00
_space_group_name_H-M_alt 'P 1'
_space_group_IT_number 1
_space_group_name_Hall 'P 1'
loop_
_atom_site_label
_atom_site_type_symbol
_atom_site_fract_x
_atom_site_fract_y
_atom_site_fract_z
_atom_site_occupancy
Mn1 Mn 0.314 0.667 0.333 1
Mn2 Mn 0.686 0.333 0.667 1
Si1 Si 0.000 0.000 0.000 1
```

This record from the Alexandria database describes a crystal of BaTeOF2 relaxed with PBEsol. The functional is SCAN.

## Properties
Crystal system: tetragonal
E: -19.49 eV/atom
SG: P4/mmm (123)
Density of states at the Fermi level: 0.02 states/eV per atom
Uncorrected formation energy: -1470 meV/atom

CIF file:
```
data_BaTeOF2
_chemical_formula_sum 'Ba1 Te1 O1 F2'
_cell_length_a 4.873
_cell_length_b 4.873
_cell_length_c 5.064
_cell_angle_alpha 90.00
_cell_angle_beta 90.00
_cell_angle_gamma 90.00
_space_group_name_H-M_alt 'P 1'
_space_group_IT_number 1
_space_group_name_Hall 'P 1'
loop_
_atom_site_label
_atom_site_type_symbol
_atom_site_fract_x
_atom_site_fract_y
_atom_site_fract_z
_atom_site_occupancy
Te1 Te 0.500 0.500 0.500 1
F1 F 0.500 0.000 0.000 1
F2 F 0.000 0.500 0.000 1
Ba1 Ba 0.000 0.000 0.000 1
O1 O 0.000 0.000 0.500 1
```

Look up the density of states at the Fermi level of the first one.
0.00 states/eV per atom

Look up the density of states at the Fermi level of the third one.
0.70 states/eV per atom